Ba2Te2Mo (PBEsol, optimized geometry); E_tot = -4.83 eV per atom; spin magnetization = 4.04 μB/f.u.; energy relative to the elements, uncorrected = -0.20 eV per atom; D(E_F) = 0.2415 states/eV/atom
1.0
-3.418 -3.651 4.472
4.645 -2.963 -3.829
4.495 4.494 2.146
Te Mo Ba
2 1 2
Direct
0.000 0.711 0.711
0.000 0.289 0.289
0.000 0.000 0.000
0.500 0.750 0.250
0.500 0.250 0.750